UWC | OQMD via LeMat-Bulk | PBE-GGA | optimized geometry; space-group type = P3m1 (156)
1.0
3.672 0.000 0.000
-1.836 3.180 0.000
0.000 0.000 12.306
C W U
3 3 3
Cartesian
0.000 0.000 10.255
0.000 0.000 1.956
1.836 1.060 6.078
1.836 1.060 1.994
1.836 1.060 10.196
0.000 0.000 6.084
0.000 2.120 12.245
0.000 2.120 8.131
0.000 2.120 4.049

YUC2 | OQMD via LeMat-Bulk | PBE-GGA | optimized geometry; space-group type = I4_1/amd (141)
1.0
-3.622 -1.744 4.583
-5.699 1.715 -1.320
4.098 -3.115 -3.267
C U Y
4 2 2
Cartesian
0.021 -2.430 0.734
-2.113 -0.007 0.740
-7.207 -0.022 2.523
-4.205 -2.443 2.214
0.000 0.000 0.000
-2.092 -2.436 1.474
-4.660 -0.014 1.632
-3.131 -0.707 -1.478

YU3C6 | OQMD via LeMat-Bulk | PBE-GGA | optimized geometry; space-group type = I4/mmm (139)
1.0
-2.876 2.876 4.694
2.876 -2.876 4.694
2.876 2.876 -4.694
C U Y
6 3 1
Cartesian
3.535 0.000 0.000
0.000 3.535 0.000
0.000 0.000 2.613
2.216 0.000 0.000
0.000 2.216 0.000
0.000 0.000 6.775
0.000 0.000 4.694
0.000 2.876 2.347
2.876 0.000 2.347
0.000 0.000 0.000

Zr2UC2 | OQMD via LeMat-Bulk | PBE-GGA | optimized geometry; space-group type = Fddd (70)
1.0
0.000 6.057 9.504
1.349 0.000 9.504
1.349 6.057 0.000
C Zr U
4 4 2
Cartesian
0.675 5.707 4.752
1.349 2.678 9.504
0.675 0.350 4.752
1.349 9.437 9.504
1.012 4.543 2.376
0.337 4.543 7.128
1.012 1.514 7.128
0.337 1.514 2.376
0.000 0.000 0.000
0.675 3.029 4.752

W3C | OQMD via LeMat-Bulk | PBE-GGA | optimized geometry; space-group type = Pnma (62)
1.0
-1.290 -1.858 5.109
6.319 -4.988 -0.218
2.801 3.463 1.967
C W
4 12
Cartesian
0.682 -2.587 4.582
2.264 -0.501 2.684
5.566 -2.883 4.174
7.147 -0.797 2.276
5.306 -0.861 3.452
4.232 -4.582 4.376
2.638 -0.119 4.816
3.380 -1.333 0.999
5.191 -3.265 2.042
4.450 -2.051 5.859
6.705 -3.831 5.781
2.524 -2.523 3.406
7.561 -2.641 3.374
0.269 -0.742 3.484
1.125 0.447 1.077
3.598 1.198 2.481

WC | OQMD via LeMat-Bulk | PBE-GGA | optimized geometry; space-group type = F-43m (216)
1.0
0.000 2.351 2.351
2.351 0.000 2.351
2.351 2.351 0.000
W C
1 1
Cartesian
1.175 1.175 1.175
0.000 0.000 0.000

WC | OQMD via LeMat-Bulk | PBE-GGA | optimized geometry; space-group type = P6_3mc (186)
1.0
3.556 0.000 0.000
-1.778 3.080 0.000
0.000 0.000 17.913
W C
8 8
Cartesian
0.000 0.000 8.727
1.778 1.027 2.044
1.778 1.027 6.384
0.000 0.000 17.683
0.000 2.053 11.001
1.778 1.027 13.302
0.000 2.053 15.341
0.000 2.053 4.346
0.000 0.000 1.882
0.000 2.053 6.438
1.778 1.027 4.146
0.000 0.000 10.839
0.000 2.053 17.550
0.000 2.053 13.103
1.778 1.027 15.394
1.778 1.027 8.594

WC | OQMD via LeMat-Bulk | PBE-GGA | optimized geometry; space-group type = P6_3/mmc (194)
1.0
-0.291 -2.959 -0.025
1.681 1.346 -2.050
8.825 -0.923 6.630
C W
4 4
Cartesian
4.413 -0.461 3.315
7.643 -0.781 3.597
2.573 -1.755 0.957
0.000 0.000 0.000
4.358 -0.437 1.129
8.113 -2.334 5.119
2.103 -0.202 -0.565
5.858 -2.098 3.425

WC | OQMD via LeMat-Bulk | PBE-GGA | optimized geometry; space-group type = Fm-3m (225)
1.0
2.193 -2.193 0.000
-2.193 0.000 -2.193
2.193 2.193 0.000
W C
1 1
Cartesian
0.000 0.000 0.000
2.193 0.000 0.000

WC | OQMD via LeMat-Bulk | PBE-GGA | optimized geometry; space-group type = P6_3/mmc (194)
1.0
-1.414 -1.643 1.956
2.737 0.867 0.528
-2.001 4.762 2.554
C W
2 2
Cartesian
-1.531 2.765 3.395
0.853 1.221 1.642
0.000 0.000 0.000
-1.000 2.381 1.277

ZnW3C2 | OQMD via LeMat-Bulk | PBE-GGA | optimized geometry; space-group type = P6_3/mmc (194)
1.0
-0.270 2.816 1.140
0.232 -2.390 1.880
18.647 1.794 -0.019
W Zn C
6 2 4
Cartesian
6.769 1.742 1.379
0.000 0.000 0.000
9.324 0.897 -0.009
2.349 1.316 1.384
11.840 0.478 1.621
16.260 0.904 1.617
4.662 0.449 -0.005
13.985 1.346 -0.014
1.364 -0.530 1.632
10.520 2.103 1.376
8.089 0.117 1.625
17.246 2.750 1.369

ZnW4C3 | OQMD via LeMat-Bulk | PBE-GGA | optimized geometry; space-group type = P6_3/mmc (194)
1.0
3.046 0.000 0.000
-1.523 2.638 0.000
0.000 0.000 23.969
C W Zn
6 8 2
Cartesian
0.000 0.000 11.984
0.000 1.759 14.602
0.000 1.759 21.351
1.523 0.879 2.618
1.523 0.879 9.366
0.000 0.000 0.000
0.000 1.759 1.293
0.000 0.000 15.768
0.000 0.000 8.201
0.000 0.000 20.185
1.523 0.879 13.278
1.523 0.879 22.676
0.000 0.000 3.783
0.000 1.759 10.691
1.523 0.879 17.977
0.000 1.759 5.992

ZrWC2 | OQMD via LeMat-Bulk | PBE-GGA | optimized geometry; space-group type = P4/mmm (123)
1.0
-2.540 1.800 0.795
0.195 -1.062 3.027
2.744 3.421 1.023
C W Zr
2 1 1
Cartesian
0.199 2.080 2.422
0.000 0.000 0.000
1.372 1.710 0.512
-1.173 0.369 1.911

ZrW2C3 | OQMD via LeMat-Bulk | PBE-GGA | optimized geometry; space-group type = P-3m1 (164)
1.0
3.161 0.000 0.000
-1.581 2.738 0.000
0.000 0.000 7.793
C W Zr
3 2 1
Cartesian
0.000 1.825 5.327
1.581 0.913 2.466
0.000 0.000 0.000
1.581 0.913 6.530
0.000 1.825 1.263
0.000 0.000 3.896

Zr2WC3 | OQMD via LeMat-Bulk | PBE-GGA | optimized geometry; space-group type = P-3m1 (164)
1.0
3.248 0.000 0.000
-1.624 2.813 0.000
0.000 0.000 7.944
Zr C W
2 3 1
Cartesian
0.000 1.875 5.354
1.624 0.938 2.590
1.624 0.938 6.752
0.000 0.000 3.972
0.000 1.875 1.192
0.000 0.000 0.000

Y2ZnC | OQMD via LeMat-Bulk | PBE-GGA | optimized geometry; space-group type = P6_3/mmc (194)
1.0
-1.897 -2.764 -1.391
3.344 0.704 -1.224
5.682 -9.088 10.304
Y C Zn
4 2 2
Cartesian
2.112 -1.276 -0.345
5.017 -9.872 8.035
3.206 -6.976 4.751
3.923 -4.172 2.939
2.841 -4.544 5.152
0.000 0.000 0.000
5.859 -7.268 6.449
1.270 -3.880 1.241

Y2ZnC | OQMD via LeMat-Bulk | PBE-GGA | optimized geometry; space-group type = C2/c (15)
1.0
5.420 -3.129 0.000
5.420 3.129 0.000
-3.130 0.000 15.246
C Zn Y
6 6 12
Cartesian
4.728 -1.545 7.697
2.710 1.564 0.000
2.982 1.545 7.550
6.293 1.545 0.073
1.417 -1.545 15.173
1.145 -1.564 7.623
6.895 -0.689 3.847
3.073 1.798 11.435
5.330 0.689 11.470
0.815 0.689 11.400
4.638 -1.798 3.812
2.380 -0.689 3.777
-0.662 -0.551 8.947
0.903 0.551 1.323
6.807 -0.551 13.923
1.136 0.540 6.299
4.759 0.490 6.219
4.517 0.490 1.404
6.574 -0.540 8.948
8.139 0.540 1.325
-0.429 -0.540 13.922
3.194 -0.490 13.842
2.952 -0.490 9.027
8.372 0.551 6.300

Y2Zr4Zn3C3 | OQMD via LeMat-Bulk | PBE-GGA | optimized geometry; space-group type = C2/c (15)
1.0
-5.678 -1.300 0.499
2.999 -1.796 -4.686
6.109 -10.821 8.187
Zr Y C Zn
8 4 6 6
Cartesian
1.922 -5.416 2.115
0.757 -1.342 -0.236
2.568 -10.978 7.133
0.861 -2.939 -3.133
1.459 -6.840 4.868
1.971 -7.077 -0.868
1.508 -8.501 1.885
2.673 -12.575 4.236
-1.888 -3.122 -1.250
5.318 -10.795 5.250
-1.015 -6.542 0.719
4.444 -7.375 3.280
0.322 -6.847 2.886
3.054 -5.411 4.093
3.108 -7.070 1.113
-1.284 -2.394 -3.629
1.500 -0.898 -2.343
-1.395 -0.702 -0.558
1.300 -4.211 -0.523
2.129 -9.706 4.523
3.523 -10.655 2.142
6.350 -9.947 2.001
-0.093 -3.262 1.858
-2.920 -3.969 1.999

Y4Zr2Zn3C3 | OQMD via LeMat-Bulk | PBE-GGA | optimized geometry; space-group type = C2/c (15)
1.0
-2.751 1.463 5.204
-5.466 -2.286 1.298
9.104 -11.215 4.432
C Zr Y Zn
6 4 8 6
Cartesian
0.438 -5.206 6.889
-2.832 0.530 3.658
-2.733 -1.143 0.649
3.176 -4.876 4.818
-5.385 -1.353 2.845
0.449 -6.832 4.046
-3.145 -1.533 2.826
4.031 -10.505 8.109
-1.002 -5.561 5.201
1.888 -6.477 5.734
-3.824 -5.504 7.225
-0.255 -1.497 0.899
4.710 -6.534 3.710
6.679 -9.944 5.719
-0.766 -7.046 8.115
-5.793 -2.095 5.216
1.652 -4.992 2.820
1.141 -10.541 10.036
2.247 -8.145 8.211
-3.437 -4.100 4.366
-1.361 -3.894 2.724
-1.381 -2.591 5.010
4.324 -7.938 6.569
2.267 -9.447 5.925

Zn5C | OQMD via LeMat-Bulk | PBE-GGA | optimized geometry; space-group type = P6/mmm (191)
1.0
4.848 0.000 0.000
-2.424 4.199 0.000
0.000 0.000 4.529
Zn C
5 1
Cartesian
2.424 0.000 2.265
1.212 2.099 2.265
2.424 1.400 0.000
0.000 2.799 0.000
-1.212 2.099 2.265
0.000 0.000 0.000

Number 1: energy -10.6052 eV per atom. Number 2: energy -9.3173 eV per atom. Number 3: energy -9.2940 eV per atom. Number 4: energy -8.5401 eV per atom. Number 5: energy -11.7597 eV per atom. Number 6: energy -10.5457 eV per atom. Number 7: energy -10.6472 eV per atom. Number 8: energy -10.8888 eV per atom. Number 9: energy -10.7650 eV per atom. Number 10: energy -11.0125 eV per atom. Number 11: energy -9.5622 eV per atom. Number 12: energy -9.8632 eV per atom. Number 13: energy -10.2344 eV per atom. Number 14: energy -10.4705 eV per atom. Number 15: energy -10.1231 eV per atom. Number 16: energy -6.0834 eV per atom. Number 17: energy -6.1061 eV per atom. Number 18: energy -7.0543 eV per atom. Number 19: energy -6.5693 eV per atom. Number 20: energy -1.5923 eV per atom.